Record 1
{
  "formula": "Ho2CuSi4Ir3",
  "functional": "PBE",
  "state": "relaxed",
  "space_group": "P-4m2, No. 115",
  "cell": [[4.1090, 0.0000, 0.0000], [0.0000, 4.1090, 0.0000], [0.0000, 0.0000, 9.8963]],
  "species": ["Ho", "Ho", "Cu", "Si", "Si", "Si", "Si", "Ir", "Ir", "Ir"],
  "frac_coords": [[0.0000, 0.5000, 0.2458], [0.5000, 0.0000, 0.7542], [0.0000, 0.0000, 0.5000], [0.0000, 0.0000, 0.0000], [0.0000, 0.5000, 0.6317], [0.5000, 0.0000, 0.3683], [0.5000, 0.5000, 0.0000], [0.0000, 0.5000, 0.8712], [0.5000, 0.0000, 0.1288], [0.5000, 0.5000, 0.5000]]
}

=====

Record 2
{
  "formula": "Pm2UIn9",
  "functional": "PBE",
  "state": "relaxed",
  "space_group": "P4/mmm, No. 123",
  "cell": [[4.6671, 0.0000, 0.0000], [0.0000, 4.6671, 0.0000], [0.0000, 0.0000, 14.0454]],
  "species": ["Pm", "Pm", "U", "In", "In", "In", "In", "In", "In", "In", "In", "In"],
  "frac_coords": [[0.0000, 0.0000, 0.1676], [0.0000, 0.0000, 0.8324], [0.0000, 0.0000, 0.5000], [0.0000, 0.5000, 0.0000], [0.0000, 0.5000, 0.3364], [0.0000, 0.5000, 0.6636], [0.5000, 0.0000, 0.0000], [0.5000, 0.0000, 0.3364], [0.5000, 0.0000, 0.6636], [0.5000, 0.5000, 0.1680], [0.5000, 0.5000, 0.5000], [0.5000, 0.5000, 0.8320]]
}

=====

Record 3
{
  "formula": "CaTiAl3",
  "functional": "PBE",
  "state": "relaxed",
  "space_group": "Pm-3m, No. 221",
  "relative_energy_ev_per_atom": 0.0000,
  "cell": [[4.9875, 0.0000, 0.0000], [0.0000, 4.9875, 0.0000], [0.0000, 0.0000, 4.9875]],
  "species": ["Ca", "Ti", "Al", "Al", "Al"],
  "frac_coords": [[0.0000, 0.0000, 0.0000], [0.5000, 0.5000, 0.5000], [0.0000, 0.5000, 0.5000], [0.5000, 0.0000, 0.5000], [0.5000, 0.5000, 0.0000]]
}

=====

Record 4
{
  "formula": "BaSi2P",
  "functional": "PBE",
  "state": "relaxed",
  "space_group": "Fmmm, No. 69",
  "cell": [[0.0000, 3.0380, 5.4967], [3.0192, 0.0000, 5.4967], [3.0192, 3.0380, 0.0000]],
  "species": ["Ba", "Si", "Si", "P"],
  "frac_coords": [[0.0000, 0.0000, 0.0000], [0.0000, 0.5000, 0.5000], [0.5000, 0.0000, 0.0000], [0.5000, 0.5000, 0.5000]]
}

=====

no.,energy (eV for the cell shown)
1,-70.52
2,-49.18
3,-19.88
4,-16.50